A relaxed K2Rb6S crystal, computed with PBE-GGA.

Summary:
* N(E_F): 4.92 states/eV per cell
* total DFT energy (no corrections): -1.621 eV per atom

a = 9.6033 Å, b = 9.6033 Å, c = 10.0584 Å
α = 61.49°, β = 61.49°, γ = 60.00°
Last column: nearest neighbours and their distance in Å.
Sites, in units of the cell vectors:
Rb 0.9035 0.4454 0.7479  1 S 3.25
Rb 0.7407 0.7404 0.2349  1 S 3.26
Rb 0.2839 0.7407 0.2349  1 S 3.26
Rb 0.4454 0.9032 0.7479  1 S 3.25
Rb 0.7404 0.2839 0.2349  1 S 3.26
Rb 0.9032 0.9035 0.7479  1 S 3.25
K 0.2327 0.2327 0.3019  1 K 4.57, 9 Rb 4.80-4.84
K 0.4144 0.4144 0.7569  1 K 4.57, 9 Rb 4.81-5.06
S 0.6701 0.6701 0.9898  6 Rb 3.25-3.26